The following is a DFT calculation (PBE) of crystalline CeAl2Sn at its relaxed geometry.

```
4
Lattice="-0.338 4.286 1.821 -2.676 3.214 -2.076 -4.960 1.005 2.700" Properties=species:S:1:pos:R:3 pbc="T T T"
Sn 0.000 0.000 0.000
Al -1.613 2.270 0.343
Al -6.362 6.235 2.101
Ce -3.987 4.252 1.222
```

Values from the calculation:
Energy relative to the elements in meV/atom: -135